# RbCd9Sn4

Crystalline RbCd9Sn4 at its relaxed geometry (PBE-GGA, Alexandria via LeMat-Bulk).

Lattice parameters (Å, degrees): 10.145 10.145 10.363 119.31 119.31 90.00
Fractional coordinates of all 28 atoms:
Cd1 0.000 0.500 0.000
Sn1 0.695 0.195 0.750
Sn2 0.446 0.305 0.250
Rb1 0.250 0.250 0.500
Cd2 0.559 0.059 0.355
Cd3 0.500 0.000 0.000
Sn3 0.054 0.554 0.750
Cd4 0.798 0.047 0.000
Sn4 0.305 0.805 0.250
Sn5 0.195 0.054 0.750
Sn6 0.946 0.446 0.250
Cd5 0.547 0.298 0.000
Cd6 0.047 0.202 0.000
Cd7 0.441 0.941 0.645
Cd8 0.702 0.547 0.000
Sn7 0.554 0.695 0.750
Cd9 0.298 0.453 0.000
Cd10 0.059 0.796 0.355
Sn8 0.805 0.946 0.250
Cd11 0.204 0.704 0.645
Cd12 0.941 0.204 0.645
Cd13 0.704 0.441 0.645
Cd14 0.453 0.702 0.000
Cd15 0.796 0.296 0.355
Cd16 0.296 0.559 0.355
Cd17 0.202 0.953 0.000
Cd18 0.953 0.798 0.000
Rb2 0.750 0.750 0.500

Results
Space-group type ... I4/mcm (140)
Magnetization ... 0.0 μB/cell
Energy of formation ... -20 kJ/mol of formula units

=====

# RbCd3Sn3

Crystalline RbCd3Sn3 at its relaxed geometry (PBE-GGA, Alexandria via LeMat-Bulk).

Lattice parameters (Å, degrees): 8.216 8.216 9.702 64.95 64.95 60.00
Fractional coordinates of all 14 atoms:
Cd1 0.936 0.347 0.659
Rb1 0.686 0.686 0.943
Sn1 0.524 0.622 0.660
Sn2 0.806 0.476 0.340
Cd2 0.942 0.064 0.341
Cd3 0.064 0.653 0.341
Rb2 0.314 0.314 0.057
Sn3 0.194 0.524 0.660
Sn4 0.378 0.806 0.340
Cd4 0.653 0.942 0.341
Cd5 0.058 0.936 0.659
Sn5 0.476 0.378 0.340
Sn6 0.622 0.194 0.660
Cd6 0.347 0.058 0.659

Results
Space-group type ... R-3 (148)
Magnetization ... 0.0 μB/cell
Energy of formation ... 3 kJ/mol of formula units
Offset from the most stable computed form ... 0.000 eV per atom

=====

no.,mass density (g/cm3)
1,6.78
2,5.23